Record 1
First-principles (PBE) data for a relaxed Th2ScGa3 crystal, as listed in Alexandria via LeMat-Bulk.

Cell: 13.4136 9.0059 4.9871 Å, 90.00 90.00 90.00°
With the nearest neighbours (Å) after each atom.
Space group Cmcm (No. 63)
One atom of each set of equivalent atoms:
Th1 0.1417 0.1842 0.2500 (multiplicity 8)  7 Ga 3.14-3.24
Sc1 0.0000 0.3982 0.7500 (multiplicity 4)  5 Ga 2.75-2.88
Ga1 0.0000 0.0930 0.7500 (multiplicity 4)  1 Sc 2.75, 2 Ga 3.00
Ga2 0.1813 0.5000 0.0000 (multiplicity 8)  2 Ga 2.49

Record 2
First-principles (PBE) data for a relaxed Th2ScGa crystal, as listed in Alexandria via LeMat-Bulk.

Cell: 4.7150 4.7150 4.6895 Å, 90.00 90.00 90.00°
With the nearest neighbours (Å) after each atom.
Space group P4/mmm (No. 123)
One atom of each set of equivalent atoms:
Th1 0.0000 0.5000 0.0000 (multiplicity 2)  4 Ga 3.32, 4 Sc 3.32, 4 Th 3.33
Sc1 0.0000 0.0000 0.5000 (multiplicity 1)  8 Th 3.32, 4 Ga 3.33
Ga1 0.5000 0.5000 0.5000 (multiplicity 1)  8 Th 3.32, 4 Sc 3.33

Record 3
First-principles (PBE) data for a relaxed ThSc2Ga6 crystal, as listed in Alexandria via LeMat-Bulk.

Cell: 4.1914 6.9545 12.7930 Å, 90.00 90.00 90.00°
With the nearest neighbours (Å) after each atom.
Space group Immm (No. 71)
One atom of each set of equivalent atoms:
Th1 0.0000 0.0000 0.0000 (multiplicity 2)  4 Ga 3.06
Sc1 0.0000 0.5000 0.1212 (multiplicity 4)  10 Ga 2.79-3.09, 1 Sc 3.10
Ga1 0.0000 0.1790 0.5000 (multiplicity 4)  3 Ga 2.49-2.56
Ga2 0.0000 0.3022 0.3111 (multiplicity 8)  4 Ga 2.56-2.75, 1 Sc 2.79

Record 4
First-principles (PBE) data for a relaxed ThSc3Ga4 crystal, as listed in Alexandria via LeMat-Bulk.

Cell: 9.7970 6.6826 5.0652 Å, 90.00 90.00 90.00°
With the nearest neighbours (Å) after each atom.
Space group Pmma (No. 51)
One atom of each set of equivalent atoms:
Th1 0.0000 0.0000 0.0000 (multiplicity 2)  8 Ga 3.11-3.14, 4 Sc 3.32-3.34
Sc1 0.0000 0.5000 0.0000 (multiplicity 2)  8 Ga 2.90-2.93, 2 Sc 3.19
Sc2 0.2500 0.0000 0.4431 (multiplicity 2)  8 Ga 2.99-3.30, 2 Th 3.32
Sc3 0.2500 0.5000 0.4040 (multiplicity 2)  8 Ga 2.90-2.94, 2 Sc 3.19
Ga1 0.0000 0.2784 0.5000 (multiplicity 4)  6 Sc 2.90-3.09, 3 Ga 2.96-3.19, 2 Th 3.14
Ga2 0.2500 0.2784 0.9045 (multiplicity 4)  5 Sc 2.90-2.99, 3 Ga 2.96-3.19, 2 Th 3.11

Record 5
First-principles (PBE) data for a relaxed ThScGa2 crystal, as listed in Alexandria via LeMat-Bulk.

Cell: 7.1110 7.1110 7.1110 Å, 90.00 90.00 90.00°
With the nearest neighbours (Å) after each atom.
Space group Fm-3m (No. 225)
One atom of each set of equivalent atoms:
Th1 0.0000 0.0000 0.0000 (multiplicity 4)  8 Ga 3.08
Sc1 0.0000 0.0000 0.5000 (multiplicity 4)  8 Ga 3.08
Ga1 0.2500 0.2500 0.2500 (multiplicity 8)  4 Th 3.08, 4 Sc 3.08

Record 6
First-principles (PBE) data for a relaxed ThScGa4 crystal, as listed in Alexandria via LeMat-Bulk.

Cell: 7.8118 7.8118 7.8118 Å, 90.00 90.00 90.00°
With the nearest neighbours (Å) after each atom.
Space group F-43m (No. 216)
One atom of each set of equivalent atoms:
Th1 0.0000 0.0000 0.0000 (multiplicity 4)  12 Ga 3.24, 4 Sc 3.38
Sc1 0.2500 0.2500 0.2500 (multiplicity 4)  12 Ga 3.24, 4 Th 3.38
Ga1 0.1248 0.1248 0.6248 (multiplicity 16)  6 Ga 2.76-2.77

Record 7
First-principles (PBE) data for a relaxed ThScTlGa crystal, as listed in Alexandria via LeMat-Bulk.

Cell: 7.3623 7.3623 7.3623 Å, 90.00 90.00 90.00°
With the nearest neighbours (Å) after each atom.
Space group F-43m (No. 216)
One atom of each set of equivalent atoms:
Th1 0.0000 0.0000 0.0000 (multiplicity 4)  4 Tl 3.19, 4 Ga 3.19
Sc1 0.0000 0.0000 0.5000 (multiplicity 4)  4 Tl 3.19, 4 Ga 3.19
Tl1 0.2500 0.2500 0.2500 (multiplicity 4)  4 Th 3.19, 4 Sc 3.19
Ga1 0.2500 0.2500 0.7500 (multiplicity 4)  4 Th 3.19, 4 Sc 3.19

Record 8
First-principles (PBE) data for a relaxed ScTi2Ga3 crystal, as listed in Alexandria via LeMat-Bulk.

Cell: 4.8056 14.4600 5.8247 Å, 90.00 90.00 90.00°
With the nearest neighbours (Å) after each atom.
Space group Cmmm (No. 65)
One atom of each set of equivalent atoms:
Sc1 0.0000 0.1670 0.0000 (multiplicity 4)  8 Ga 2.85-2.90, 2 Ti 2.91
Ti1 0.0000 0.1704 0.5000 (multiplicity 4)  8 Ga 2.77-2.83, 2 Sc 2.91
Ti2 0.0000 0.5000 0.0000 (multiplicity 2)  8 Ga 2.81-2.85, 2 Ti 2.91
Ti3 0.0000 0.5000 0.5000 (multiplicity 2)  8 Ga 2.73-2.77, 2 Ti 2.91
Ga1 0.0000 0.0000 0.2622 (multiplicity 4)  2 Ga 2.77-3.05, 6 Ti 2.77-2.85, 2 Sc 2.86
Ga2 0.0000 0.3372 0.2642 (multiplicity 8)  5 Ti 2.73-2.81, 1 Ga 2.75, 3 Sc 2.85-2.90

Record 9
First-principles (PBE) data for a relaxed ScTi2Ga4 crystal, as listed in Alexandria via LeMat-Bulk.

Cell: 4.9893 4.9893 13.1589 Å, 90.00 90.00 90.00°
With the nearest neighbours (Å) after each atom.
Space group I4/mmm (No. 139)
One atom of each set of equivalent atoms:
Sc1 0.0000 0.0000 0.0000 (multiplicity 2)  6 Ga 2.49-2.72
Ti1 0.0000 0.0000 0.4089 (multiplicity 4)  1 Ti 2.40, 1 Ga 2.66
Ga1 0.0000 0.0000 0.2066 (multiplicity 4)  1 Ti 2.66, 1 Sc 2.72
Ga2 0.0000 0.5000 0.0000 (multiplicity 4)  2 Sc 2.49, 4 Ti 2.77

Record 10
First-principles (PBE) data for a relaxed ScTiGa6 crystal, as listed in Alexandria via LeMat-Bulk.

Cell: 5.7293 5.7293 4.0556 Å, 90.00 90.00 90.00°
With the nearest neighbours (Å) after each atom.
Space group P4/mmm (No. 123)
One atom of each set of equivalent atoms:
Sc1 0.0000 0.0000 0.0000 (multiplicity 1)  12 Ga 2.86-2.89
Ti1 0.5000 0.5000 0.0000 (multiplicity 1)  12 Ga 2.85-2.86
Ga1 0.0000 0.5000 0.0000 (multiplicity 2)  2 Ti 2.86, 2 Sc 2.86, 8 Ga 2.87
Ga2 0.2536 0.2536 0.5000 (multiplicity 4)  8 Ga 2.82-2.91, 2 Ti 2.85, 2 Sc 2.89

Record 11
First-principles (PBE) data for a relaxed ScTiGa2 crystal, as listed in Alexandria via LeMat-Bulk.

Cell: 3.3879 3.3879 6.0682 Å, 90.00 90.00 90.00°
With the nearest neighbours (Å) after each atom.
Space group P4/mmm (No. 123)
One atom of each set of equivalent atoms:
Sc1 0.0000 0.0000 0.0000 (multiplicity 1)  8 Ga 2.91, 2 Ti 3.03
Ti1 0.0000 0.0000 0.5000 (multiplicity 1)  8 Ga 2.77, 2 Sc 3.03
Ga1 0.5000 0.5000 0.2709 (multiplicity 2)  4 Ti 2.77, 1 Ga 2.78, 4 Sc 2.91

Record 12
First-principles (PBE) data for a relaxed Sc3Ti3Ga8 crystal, as listed in Alexandria via LeMat-Bulk.

Cell: 4.1080 9.3870 13.0264 Å, 90.00 90.00 90.00°
With the nearest neighbours (Å) after each atom.
Space group Immm (No. 71)
One atom of each set of equivalent atoms:
Sc1 0.0000 0.0000 0.0000 (multiplicity 2)  12 Ga 3.14-3.26
Sc2 0.0000 0.0000 0.2959 (multiplicity 4)  8 Ga 2.98-3.01, 2 Ti 3.16
Ti1 0.0000 0.1816 0.5000 (multiplicity 4)  2 Ti 2.67, 6 Ga 2.68-2.75
Ti2 0.0000 0.5000 0.0000 (multiplicity 2)  4 Ti 2.67, 4 Ga 2.69
Ga1 0.0000 0.2886 0.1391 (multiplicity 8)  3 Ga 2.53-2.77, 3 Ti 2.69-2.75
Ga2 0.0000 0.3678 0.3442 (multiplicity 8)  4 Ga 2.48-2.77, 1 Ti 2.68

Number 1: Fermi-level density of states 1.04 states/eV/atom, energy -5.36 eV per atom. Number 2: Fermi-level density of states 1.12 states/eV/atom, energy -6.25 eV per atom. Number 3: Fermi-level density of states 0.87 states/eV/atom, energy -4.69 eV per atom. Number 4: Fermi-level density of states 0.59 states/eV/atom, energy -5.33 eV per atom. Number 5: Fermi-level density of states 0.97 states/eV/atom, energy -5.41 eV per atom. Number 6: Fermi-level density of states 0.51 states/eV/atom, energy -4.74 eV per atom. Number 7: Fermi-level density of states 1.01 states/eV/atom, energy -5.04 eV per atom. Number 8: Fermi-level density of states 0.88 states/eV/atom, energy -5.61 eV per atom. Number 9: Fermi-level density of states 1.11 states/eV/atom, energy -4.56 eV per atom. Number 10: Fermi-level density of states 0.45 states/eV/atom, energy -4.46 eV per atom. Number 11: Fermi-level density of states 0.60 states/eV/atom, energy -5.52 eV per atom. Number 12: Fermi-level density of states 0.63 states/eV/atom, energy -5.22 eV per atom.